No. 1
A relaxed LiLu2Pd crystal. Source: Alexandria, functional GGA-PBEsol.

POSCAR file:
```
LiLu2Pd
1.0
-0.738 -1.869 -4.400
3.765 -1.389 -2.700
0.801 -4.703 -0.795
Lu Pd Li
2 1 1
Direct
0.250 0.250 0.250
0.750 0.750 0.750
0.000 0.000 0.000
0.500 0.500 0.500
```

Summary:
- formation energy (eV per formula unit) = -1.81
- ρ (g cm⁻³) = 9.61
- size of the total moment (μB/f.u.) = 0.0


No. 2
A relaxed LiLuPt2 crystal. Source: Alexandria, functional GGA-PBEsol.

POSCAR file:
```
LiLuPt2
1.0
-2.361 -3.589 -1.444
1.955 -4.087 -0.153
-1.249 -3.221 2.934
Lu Pt Li
1 2 1
Direct
0.000 0.000 0.000
0.250 0.250 0.250
0.750 0.750 0.750
0.500 0.500 0.500
```

Summary:
- formation energy (eV per formula unit) = -3.72
- ρ (g cm⁻³) = 14.43
- size of the total moment (μB/f.u.) = 0.0


No. 3
A relaxed LiLuSn crystal. Source: Alexandria, functional GGA-PBEsol.

POSCAR file:
```
LiLuSn
1.0
6.967 0.000 0.000
0.000 9.179 0.000
0.000 -4.590 7.950
Lu Sn Li
8 8 8
Direct
0.006 0.980 0.490
0.006 0.510 0.490
0.006 0.510 0.020
0.506 0.020 0.510
0.506 0.490 0.510
0.506 0.490 0.980
0.001 0.000 0.000
0.501 0.000 0.000
0.767 0.667 0.833
0.767 0.167 0.833
0.767 0.167 0.333
0.267 0.333 0.167
0.267 0.833 0.167
0.267 0.833 0.667
0.242 0.333 0.667
0.742 0.667 0.333
0.218 0.667 0.833
0.218 0.167 0.833
0.218 0.167 0.333
0.718 0.333 0.167
0.718 0.833 0.167
0.718 0.833 0.667
0.813 0.333 0.667
0.313 0.667 0.333
```

Summary:
- formation energy (eV per formula unit) = -1.90
- ρ (g cm⁻³) = 7.86
- size of the total moment (μB/f.u.) = 0.0


No. 4
A relaxed Li3Mg5 crystal. Source: Alexandria, functional GGA-PBEsol.

POSCAR file:
```
Li3Mg5
1.0
-4.041 1.263 -4.191
-2.029 -4.358 3.518
1.030 4.827 3.336
Mg Li
5 3
Direct
0.500 0.000 0.000
0.500 0.500 0.500
0.000 0.000 0.500
0.000 0.500 0.000
0.000 0.000 0.000
0.500 0.500 0.000
0.500 0.000 0.500
0.000 0.500 0.500
```

Summary:
- formation energy (eV per formula unit) = -0.38
- ρ (g cm⁻³) = 1.45
- size of the total moment (μB/f.u.) = 0.0


No. 5
A relaxed LiMg5 crystal. Source: Alexandria, functional GGA-PBEsol.

POSCAR file:
```
LiMg5
1.0
-1.354 -2.955 -0.496
0.679 -0.832 3.108
-10.458 4.221 3.415
Mg Li
5 1
Direct
0.000 0.000 0.648
0.500 0.500 0.822
0.000 0.000 0.000
0.500 0.500 0.178
0.000 0.000 0.352
0.500 0.500 0.500
```

Summary:
- formation energy (eV per formula unit) = -0.09
- ρ (g cm⁻³) = 1.67
- size of the total moment (μB/f.u.) = 0.0


No. 6
A relaxed LiMg2 crystal. Source: Alexandria, functional GGA-PBEsol.

POSCAR file:
```
LiMg2
1.0
8.858 0.000 0.000
4.429 7.671 0.000
4.429 2.557 7.232
Mg Li
16 8
Direct
0.125 0.625 0.625
0.625 0.625 0.625
0.625 0.625 0.125
0.625 0.125 0.625
0.063 0.437 0.437
0.063 0.437 0.063
0.437 0.437 0.063
0.063 0.063 0.437
0.437 0.063 0.437
0.437 0.063 0.063
0.187 0.813 0.813
0.187 0.813 0.187
0.813 0.813 0.187
0.187 0.187 0.813
0.813 0.187 0.813
0.813 0.187 0.187
0.837 0.488 0.837
0.837 0.837 0.488
0.837 0.837 0.837
0.488 0.837 0.837
0.413 0.762 0.413
0.413 0.413 0.762
0.413 0.413 0.413
0.762 0.413 0.413
```

Summary:
- formation energy (eV per formula unit) = -0.03
- ρ (g cm⁻³) = 1.50
- size of the total moment (μB/f.u.) = 0.0


No. 7
A relaxed LiMg2 crystal. Source: Alexandria, functional GGA-PBEsol.

POSCAR file:
```
LiMg2
1.0
3.386 0.000 0.000
0.000 4.939 0.000
-1.693 0.000 7.461
Mg Li
4 2
Direct
0.975 0.000 0.950
0.308 0.000 0.615
0.642 0.000 0.284
0.469 0.500 0.939
0.138 0.500 0.276
0.801 0.500 0.602
```

Summary:
- formation energy (eV per formula unit) = -0.09
- ρ (g cm⁻³) = 1.48
- size of the total moment (μB/f.u.) = 0.0


No. 8
A relaxed Li5Mg4 crystal. Source: Alexandria, functional GGA-PBEsol.

POSCAR file:
```
Li5Mg4
1.0
3.318 0.000 0.000
1.659 7.401 0.000
1.659 0.000 7.401
Mg Li
4 5
Direct
0.000 0.676 0.324
0.000 0.324 0.676
0.324 0.676 0.676
0.676 0.324 0.324
0.000 0.000 0.000
0.330 0.339 0.000
0.330 0.000 0.339
0.670 0.000 0.661
0.670 0.661 0.000
```

Summary:
- formation energy (eV per formula unit) = -0.38
- ρ (g cm⁻³) = 1.21
- size of the total moment (μB/f.u.) = 0.0


No. 9
A relaxed LiMg2 crystal. Source: Alexandria, functional GGA-PBEsol.

POSCAR file:
```
LiMg2
1.0
-0.384 3.331 -1.043
-2.360 1.008 4.090
6.439 0.050 3.703
Mg Li
4 2
Direct
0.244 0.250 0.488
0.920 0.250 0.839
0.756 0.750 0.512
0.080 0.750 0.161
0.583 0.250 0.167
0.417 0.750 0.833
```

Summary:
- formation energy (eV per formula unit) = -0.15
- ρ (g cm⁻³) = 1.51
- size of the total moment (μB/f.u.) = 0.0


No. 10
A relaxed Li4Mg crystal. Source: Alexandria, functional GGA-PBEsol.

POSCAR file:
```
Li4Mg
1.0
-0.026 0.658 -5.582
-3.297 -4.334 1.391
-1.925 4.680 2.447
Mg Li
1 4
Direct
0.000 0.000 0.000
0.000 0.000 0.500
0.000 0.500 0.000
0.500 0.000 0.000
0.500 0.500 0.500
```

Summary:
- formation energy (eV per formula unit) = 1.50
- ρ (g cm⁻³) = 0.63
- size of the total moment (μB/f.u.) = 0.0


No. 11
A relaxed LiMg4 crystal. Source: Alexandria, functional GGA-PBEsol.

POSCAR file:
```
LiMg4
1.0
4.387 0.000 0.000
2.194 4.952 0.000
2.194 0.000 4.952
Mg Li
4 1
Direct
0.798 0.603 0.801
0.202 0.397 0.199
0.599 0.199 0.603
0.401 0.801 0.397
0.000 0.000 0.000
```

Summary:
- formation energy (eV per formula unit) = -0.06
- ρ (g cm⁻³) = 1.61
- size of the total moment (μB/f.u.) = 0.0


No. 12
A relaxed LiMg2 crystal. Source: Alexandria, functional GGA-PBEsol.

POSCAR file:
```
LiMg2
1.0
3.317 0.000 0.000
0.000 3.467 0.000
-1.658 -1.734 5.281
Mg Li
2 1
Direct
0.342 0.342 0.684
0.658 0.658 0.316
0.000 0.000 0.000
```

Summary:
- formation energy (eV per formula unit) = -0.18
- ρ (g cm⁻³) = 1.52
- size of the total moment (μB/f.u.) = 0.0


No. 13
A relaxed Li3Mg5 crystal. Source: Alexandria, functional GGA-PBEsol.

POSCAR file:
```
Li3Mg5
1.0
4.793 0.000 0.000
0.000 5.966 -0.027
0.000 -1.835 5.677
Mg Li
5 3
Direct
0.000 0.000 0.000
0.000 0.000 0.500
0.000 0.500 0.000
0.500 0.268 0.268
0.500 0.732 0.732
0.000 0.500 0.500
0.500 0.760 0.240
0.500 0.240 0.760
```

Summary:
- formation energy (eV per formula unit) = -0.41
- ρ (g cm⁻³) = 1.46
- size of the total moment (μB/f.u.) = 0.0


No. 14
A relaxed Li5Mg4 crystal. Source: Alexandria, functional GGA-PBEsol.

POSCAR file:
```
Li5Mg4
1.0
-0.674 3.362 -4.726
-8.044 -2.443 -0.592
2.014 6.801 4.551
Li Mg
10 8
Direct
0.750 0.000 0.690
0.750 0.690 0.000
0.750 0.310 0.310
0.250 0.000 0.310
0.250 0.310 0.000
0.250 0.690 0.690
0.000 0.333 0.667
0.500 0.667 0.333
0.000 0.667 0.333
0.500 0.333 0.667
0.000 0.000 0.000
0.500 0.000 0.000
0.750 0.000 0.357
0.750 0.357 0.000
0.750 0.643 0.643
0.250 0.000 0.643
0.250 0.643 0.000
0.250 0.357 0.357
```

Summary:
- formation energy (eV per formula unit) = -0.20
- ρ (g cm⁻³) = 1.22
- size of the total moment (μB/f.u.) = 0.0


No. 15
A relaxed LiMg2 crystal. Source: Alexandria, functional GGA-PBEsol.

POSCAR file:
```
LiMg2
1.0
-3.681 3.482 2.954
-1.119 -1.047 5.661
2.066 3.630 4.117
Li Mg
2 4
Direct
0.750 0.750 0.750
0.500 0.500 0.500
0.125 0.125 0.625
0.125 0.625 0.125
0.125 0.125 0.125
0.625 0.125 0.125
```

Summary:
- formation energy (eV per formula unit) = 0.22
- ρ (g cm⁻³) = 1.29
- size of the total moment (μB/f.u.) = 0.0


No. 16
A relaxed Li17Mg12 crystal. Source: Alexandria, functional GGA-PBEsol.

POSCAR file:
```
Li17Mg12
1.0
-8.394 0.740 3.854
-0.877 -2.735 -8.810
5.011 -6.231 4.684
Li Mg
17 12
Direct
0.000 0.688 0.416
0.000 0.416 0.688
0.728 0.312 0.312
0.272 0.584 0.584
0.312 0.312 0.728
0.584 0.584 0.272
0.688 0.416 0.000
0.416 0.688 0.000
0.688 0.000 0.416
0.416 0.000 0.688
0.584 0.272 0.584
0.312 0.728 0.312
0.000 0.000 0.641
0.000 0.641 0.000
0.641 0.000 0.000
0.359 0.359 0.359
0.000 0.000 0.000
0.000 0.195 0.388
0.000 0.388 0.195
0.193 0.805 0.805
0.807 0.612 0.612
0.805 0.805 0.193
0.612 0.612 0.807
0.195 0.388 0.000
0.388 0.195 0.000
0.195 0.000 0.388
0.388 0.000 0.195
0.612 0.807 0.612
0.805 0.193 0.805
```

Summary:
- formation energy (eV per formula unit) = 0.25
- ρ (g cm⁻³) = 1.11
- size of the total moment (μB/f.u.) = 0.0


No. 17
A relaxed LiMg2 crystal. Source: Alexandria, functional GGA-PBEsol.

POSCAR file:
```
LiMg2
1.0
-0.714 -4.541 -2.820
2.810 -4.444 1.199
-2.897 -4.485 2.648
Mg Li
4 2
Direct
0.249 0.414 0.751
0.586 0.751 0.749
0.414 0.249 0.251
0.751 0.586 0.249
0.082 0.918 0.250
0.918 0.082 0.750
```

Summary:
- formation energy (eV per formula unit) = -0.10
- ρ (g cm⁻³) = 1.46
- size of the total moment (μB/f.u.) = 0.0


No. 18
A relaxed Li3Mg4 crystal. Source: Alexandria, functional GGA-PBEsol.

POSCAR file:
```
Li3Mg4
1.0
3.365 0.000 0.000
0.000 3.365 0.000
-1.682 -1.682 12.407
Mg Li
4 3
Direct
0.148 0.148 0.297
0.432 0.432 0.864
0.568 0.568 0.136
0.852 0.852 0.703
0.000 0.000 0.000
0.282 0.282 0.563
0.718 0.718 0.437
```

Summary:
- formation energy (eV per formula unit) = -0.38
- ρ (g cm⁻³) = 1.40
- size of the total moment (μB/f.u.) = 0.0


No. 19
A relaxed LiMg7 crystal. Source: Alexandria, functional GGA-PBEsol.

POSCAR file:
```
LiMg7
1.0
-1.421 2.920 -5.368
3.917 -0.342 -4.889
-1.589 -3.344 -5.065
Mg Li
7 1
Direct
0.500 0.000 0.000
0.500 0.500 0.000
0.000 0.500 0.000
0.500 0.000 0.500
0.000 0.000 0.500
0.000 0.500 0.500
0.500 0.500 0.500
0.000 0.000 0.000
```

Summary:
- formation energy (eV per formula unit) = -0.02
- ρ (g cm⁻³) = 1.68
- size of the total moment (μB/f.u.) = 0.0


No. 20
A relaxed Li3Mg5 crystal. Source: Alexandria, functional GGA-PBEsol.

POSCAR file:
```
Li3Mg5
1.0
5.488 0.000 0.000
2.744 7.698 0.000
2.744 0.000 7.698
Li Mg
6 10
Direct
0.672 0.500 0.157
0.750 0.000 0.000
0.172 0.157 0.500
0.828 0.843 0.500
0.250 0.000 0.000
0.328 0.500 0.843
0.224 0.851 0.701
0.925 0.299 0.851
0.250 0.500 0.500
0.425 0.851 0.299
0.724 0.701 0.851
0.276 0.299 0.149
0.575 0.149 0.701
0.750 0.500 0.500
0.075 0.701 0.149
0.776 0.149 0.299
```

Summary:
- formation energy (eV per formula unit) = -0.13
- ρ (g cm⁻³) = 1.45
- size of the total moment (μB/f.u.) = 0.0